Compound: TaNb3S6
Source: Alexandria via LeMat-Bulk
Functional: PBE
Structure: optimized geometry

abc: 7.2650 7.2650 7.2650
angles: 87.37 87.37 87.37
Closest atoms and distances in Å follow each position.
Fractional positions:
S 0.0974 0.3277 0.9462  3 Nb 2.46-2.73, 1 Ta 2.52
Nb 0.6249 0.0998 0.2352  5 S 2.42-2.68
S 0.4230 0.1752 0.5425  3 Nb 2.42-2.68, 1 Ta 2.45
S 0.9462 0.0974 0.3277  3 Nb 2.46-2.73, 1 Ta 2.52
Ta 0.5000 0.5000 0.5000  6 S 2.45
Nb 0.0998 0.2352 0.6249  5 S 2.42-2.68
S 0.1752 0.5425 0.4230  3 Nb 2.42-2.68, 1 Ta 2.45
S 0.9026 0.6723 0.0538  3 Nb 2.46-2.73, 1 Ta 2.52
S 0.0538 0.9026 0.6723  3 Nb 2.46-2.73, 1 Ta 2.52
Nb 0.3751 0.9002 0.7648  5 S 2.42-2.68
Nb 0.2352 0.6249 0.0998  5 S 2.42-2.68
Nb 0.9002 0.7648 0.3751  5 S 2.42-2.68
Ta 0.0000 0.0000 0.0000  6 S 2.52
Nb 0.7648 0.3751 0.9002  5 S 2.42-2.68
S 0.6723 0.0538 0.9026  3 Nb 2.46-2.73, 1 Ta 2.52
S 0.8248 0.4575 0.5770  3 Nb 2.42-2.68, 1 Ta 2.45
S 0.5425 0.4230 0.1752  3 Nb 2.42-2.68, 1 Ta 2.45
S 0.3277 0.9462 0.0974  3 Nb 2.46-2.73, 1 Ta 2.52
S 0.4575 0.5770 0.8248  3 Nb 2.42-2.68, 1 Ta 2.45
S 0.5770 0.8248 0.4575  3 Nb 2.42-2.68, 1 Ta 2.45

## Properties
Formation energy (no corrections) = -7.54 eV/f.u.
Electronic total energy = -148.74 eV for the cell shown